Entry 1:
# LuPuThZn

LuPuThZn after structural relaxation (PBE, the Alexandria database).

The structure in extended XYZ format:
```
4
Lattice="-4.665 -1.624 -1.748 -3.833 -1.100 3.399 -4.171 3.151 0.354" Properties=species:S:1:pos:R:3 pbc="T T T"
Pu -6.335 0.214 1.003
Zn 0.000 0.000 0.000
Lu -3.167 0.107 0.501
Th -9.502 0.320 1.504
```

Computed properties:
ΔE_f, eV per atom: 0.125


Entry 2:
# Pm2Sn2Rh

Pm2Sn2Rh after structural relaxation (PBE, the Alexandria database).

The structure in extended XYZ format:
```
10
Lattice="6.345 0.000 0.000 0.000 6.754 0.000 -3.172 -3.377 6.555" Properties=species:S:1:pos:R:3 pbc="T T T"
Pm 0.000 1.411 1.667
Pm 3.172 1.966 4.888
Pm 3.172 5.343 1.667
Pm 0.000 -1.966 4.888
Rh 4.758 3.377 0.000
Rh 1.586 3.377 0.000
Sn 0.000 1.512 4.933
Sn 3.172 1.865 1.622
Sn 3.172 -1.512 4.933
Sn 0.000 4.889 1.622
```

Computed properties:
ΔE_f, eV per atom: -0.633
Energy above the most stable polymorph in this dataset, meV per atom: 185.0


Entry 3:
# SmHo6Tl4

SmHo6Tl4 after structural relaxation (PBE, the Alexandria database).

The structure in extended XYZ format:
```
11
Lattice="-6.928 -3.108 -2.590 6.649 -4.432 0.714 1.137 2.057 7.670" Properties=species:S:1:pos:R:3 pbc="T T T"
Ho -2.895 -0.525 2.540
Ho -0.139 -3.770 -0.938
Ho 4.509 -0.486 7.238
Ho -3.547 -2.209 -0.750
Ho 6.546 -2.885 4.666
Ho 1.137 -2.277 3.024
Tl -1.400 -2.950 1.642
Tl 4.304 -2.161 2.358
Tl 2.357 0.130 4.814
Tl 3.384 -2.875 5.363
Sm 0.000 0.000 0.000
```

Computed properties:
ΔE_f, eV per atom: -0.019


Entry 4:
# YRh3C

YRh3C after structural relaxation (PBE, the Alexandria database).

The structure in extended XYZ format:
```
5
Lattice="-2.264 -1.288 3.280 3.097 -2.588 1.121 1.682 3.031 2.351" Properties=species:S:1:pos:R:3 pbc="T T T"
Y 1.258 -0.423 3.376
Rh 1.548 -1.294 0.560
Rh -1.132 -0.644 1.640
Rh 0.841 1.515 1.176
C 0.000 0.000 0.000
```

Computed properties:
ΔE_f, eV per atom: -0.493
Energy above the most stable polymorph in this dataset, meV per atom: 0.0


Entry 5:
# MgCrN

MgCrN after structural relaxation (PBE, the Alexandria database).

The structure in extended XYZ format:
```
6
Lattice="3.203 0.000 0.000 0.000 3.203 0.000 0.000 0.000 7.431" Properties=species:S:1:pos:R:3 pbc="T T T"
Cr 1.601 1.601 3.715
Cr 0.000 0.000 3.715
Mg 1.601 0.000 1.216
Mg 0.000 1.601 6.215
N 1.601 0.000 5.001
N 0.000 1.601 2.430
```

Computed properties:
Energy above the most stable polymorph in this dataset, meV per atom: 0.0
Formation energy (no corrections), eV per formula unit: -0.245


Entry 6:
# Ce3Mg4Pb4

Ce3Mg4Pb4 after structural relaxation (PBE, the Alexandria database).

The structure in extended XYZ format:
```
11
Lattice="-2.183 0.097 -3.994 6.342 -4.075 -0.971 -4.638 -7.777 2.345" Properties=species:S:1:pos:R:3 pbc="T T T"
Mg -2.440 -4.584 -1.372
Mg -2.503 -6.551 1.208
Mg -0.209 -2.704 0.048
Mg -0.088 -0.720 -2.564
Ce 0.675 -9.035 -0.590
Ce 3.008 -5.124 -1.769
Ce 2.936 -2.252 -1.660
Pb 1.305 -7.456 -3.489
Pb 3.699 -3.625 -4.705
Pb 0.076 -3.764 -2.728
Pb -2.174 -7.538 -1.590
```

Computed properties:
ΔE_f, eV per atom: -0.217


Entry 7:
# NpU2N6

NpU2N6 after structural relaxation (PBE, the Alexandria database).

The structure in extended XYZ format:
```
9
Lattice="3.541 0.000 -1.145 -0.777 4.614 -2.406 0.122 0.373 6.428" Properties=species:S:1:pos:R:3 pbc="T T T"
N 1.578 1.145 -1.170
N 0.305 2.037 0.943
N -0.085 4.354 -0.265
N 2.581 2.950 1.934
N 2.972 0.633 3.142
N 1.186 3.469 -2.381
U 1.004 1.789 3.106
U 1.882 3.198 -0.229
Np 0.000 0.000 0.000
```

Computed properties:
Formation energy (no corrections), eV per formula unit: -10.877


Entry 8:
# InAg3S3

InAg3S3 after structural relaxation (PBE, the Alexandria database).

The structure in extended XYZ format:
```
28
Lattice="6.869 0.000 0.000 0.000 6.736 -0.096 0.000 0.856 14.287" Properties=species:S:1:pos:R:3 pbc="T T T"
S 6.559 1.902 1.030
S 0.308 1.781 5.915
S 3.743 5.382 1.132
S 0.310 5.689 13.161
S 0.231 2.669 10.240
S 3.204 2.241 3.096
S 6.638 4.922 3.951
S 3.744 2.330 8.173
S 3.665 5.350 11.095
S 3.125 5.262 6.018
S 3.127 2.209 13.059
S 6.561 5.810 8.275
In 4.195 1.182 1.054
In 6.109 1.610 8.198
In 2.674 6.410 13.137
In 0.760 5.982 5.993
Ag 2.707 2.718 5.829
Ag 5.410 2.464 4.278
Ag 1.459 5.128 9.913
Ag 4.162 4.874 8.362
Ag 3.419 0.638 9.855
Ag 0.727 3.145 12.972
Ag 0.015 0.210 2.711
Ag 4.894 2.891 11.422
Ag 6.854 7.381 11.480
Ag 3.450 6.953 4.336
Ag 6.142 4.446 1.219
Ag 1.975 4.700 2.769
```

Computed properties:
Formation energy (no corrections), eV per formula unit: -1.464


Entry 9:
# Ba2Mg4TlGe3

Ba2Mg4TlGe3 after structural relaxation (PBE, the Alexandria database).

The structure in extended XYZ format:
```
10
Lattice="4.767 0.000 0.000 0.000 4.767 0.000 0.000 0.000 11.634" Properties=species:S:1:pos:R:3 pbc="T T T"
Ge 0.000 0.000 5.817
Ge 0.000 2.384 1.509
Ge 2.384 0.000 10.125
Mg 2.384 2.384 0.000
Mg 2.384 0.000 7.417
Mg 0.000 0.000 0.000
Mg 0.000 2.384 4.217
Ba 2.384 0.000 2.842
Ba 0.000 2.384 8.792
Tl 2.384 2.384 5.817
```

Computed properties:
ΔE_f, eV per atom: -0.405


Entry 10:
# ScBePd2Rh

ScBePd2Rh after structural relaxation (PBE, the Alexandria database).

The structure in extended XYZ format:
```
5
Lattice="-2.112 -0.478 -3.617 -0.402 -4.123 0.779 -3.643 0.739 2.030" Properties=species:S:1:pos:R:3 pbc="T T T"
Pd -1.056 -0.239 -1.808
Pd -0.201 -2.062 0.390
Sc -3.079 -1.931 -0.404
Be 0.000 0.000 0.000
Rh -1.822 0.369 1.015
```

Computed properties:
ΔE_f, eV per atom: -0.625